An optimized crystal structure of VMoN2O, computed with PBE+U.

Cell lengths 3.995, 3.995, 3.812 Å; angles 90.00, 90.00, 90.00 degrees
Fractional coordinates of all 5 atoms:
O (0.000, 0.000, 0.500)
N (0.000, 0.500, 0.000)
N (0.500, 0.000, 0.000)
V (0.500, 0.500, 0.500)
Mo (0.000, 0.000, 0.000)

Summary:
Volume   12.17 A^3/atom
Calculated total energy   -0.250 hartree per atom
DOS(E_F)   2.6 states/eV/cell